DFT (PBE) results for a relaxed Y2HoTm3Bi2Os crystal.

a b c (Å): 4.2155 14.2941 8.2690
angles (deg): 90.00 90.00 90.00
Last column: nearest neighbours and their distance in Å.
Space group Amm2 (No. 38)
Symmetry-distinct sites (fractional):
Y  0.0000  0.1187  0.0000 [4 per cell]  2 Os 2.89, 2 Bi 3.22-3.23
Ho  0.0000  0.0000  0.6458 [2 per cell]  2 Os 2.86
Tm  0.5000  0.0000  0.2648 [2 per cell]  1 Os 3.19, 4 Bi 3.32, 4 Y 3.48
Tm  0.5000  0.1911  0.6895 [4 per cell]  1 Os 3.15, 4 Bi 3.32-3.33, 2 Ho 3.47, 2 Y 3.48
Bi  0.0000  0.1664  0.3815 [4 per cell]  2 Y 3.22-3.23, 1 Ho 3.23, 6 Tm 3.32-3.33
Os  0.5000  0.0000  0.8788 [2 per cell]  2 Ho 2.86, 4 Y 2.89, 3 Tm 3.15-3.19

Results
total moment = 0.05 μB per cell
uncorrected energy = -6.100 eV per atom
crystal system = orthorhombic